1.
Density functional theory data (PBE) for a geometry-optimized HIrSe3 structure.

Output
energy relative to the lowest polymorph listed for this composition: 0.24 eV/f.u.
size of the total moment: 0.000 μB per atom

a = 4.9551 Å, b = 6.4594 Å, c = 6.5454 Å
α = 76.73°, β = 69.30°, γ = 78.08°
Last column: nearest neighbours and their distance in Å.
Space group P1 (No. 1)
One atom of each set of equivalent atoms:
1 H 0.0000 0.0000 0.0000 (multiplicity 1)  2 Ir 1.73-1.75
2 H 0.4970 0.7287 0.8075 (multiplicity 1)  1 Se 1.51
3 Ir 0.1449 0.9494 0.2169 (multiplicity 1)  1 H 1.75
4 Ir 0.8565 0.0878 0.7839 (multiplicity 1)  1 H 1.73
5 Se 0.0701 0.4241 0.6801 (multiplicity 1)  1 Se 2.41, 1 Ir 2.46
6 Se 0.3051 0.8978 0.5435 (multiplicity 1)  1 H 2.23, 2 Ir 2.46-2.49
7 Se 0.3895 0.2691 0.0162 (multiplicity 1)  2 Ir 2.47-2.50
8 Se 0.6144 0.7613 0.9807 (multiplicity 1)  1 H 1.51
9 Se 0.6986 0.1478 0.4474 (multiplicity 1)  2 Ir 2.48-2.51, 1 Se 2.60
10 Se 0.9616 0.5976 0.3459 (multiplicity 1)  1 Se 2.41, 1 Ir 2.48



2.
Density functional theory data (PBE) for a geometry-optimized MgCu5Au8 structure.

Output
size of the total moment: 0.000 μB per atom
formation enthalpy at 0 K: -0.01 eV/atom

a = 7.7007 Å, b = 7.7007 Å, c = 7.9799 Å
α = 90.00°, β = 90.00°, γ = 90.00°
Last column: nearest neighbours and their distance in Å.
Space group I-4 (No. 82)
One atom of each set of equivalent atoms:
1 Mg 0.0000 0.0000 0.0000 (multiplicity 2)  8 Au 2.70-2.93
2 Cu 0.0000 0.5000 0.2500 (multiplicity 2)  8 Au 2.58-2.67
3 Cu 0.1253 0.2817 0.6601 (multiplicity 8)  8 Au 2.63-2.86
4 Au 0.0705 0.1695 0.3222 (multiplicity 8)  5 Cu 2.67-2.86, 3 Au 2.83-2.98, 1 Mg 2.93
5 Au 0.0984 0.3355 0.9842 (multiplicity 8)  5 Cu 2.58-2.71, 1 Mg 2.70, 1 Au 2.86



3.
Density functional theory data (PBE) for a geometry-optimized LiAl5Ag structure.

Output
size of the total moment: 0.000 μB per atom
formation enthalpy at 0 K: 0.44 eV/atom

a = 7.4772 Å, b = 9.0628 Å, c = 4.9910 Å
α = 90.00°, β = 90.00°, γ = 90.00°
Last column: nearest neighbours and their distance in Å.
Space group Imm2 (No. 44)
One atom of each set of equivalent atoms:
1 Li 0.0000 0.0000 0.0000 (multiplicity 2)  2 Al 2.48-2.51
2 Al 0.0000 0.0000 0.4965 (multiplicity 2)  2 Li 2.48-2.51, 4 Al 2.51-2.58
3 Al 0.0000 0.2652 0.3539 (multiplicity 4)  3 Al 2.51-2.64, 1 Ag 2.80
4 Al 0.1822 0.5000 0.1983 (multiplicity 4)  4 Al 2.58-2.73, 1 Ag 2.76, 1 Li 2.81
5 Ag 0.0000 0.5000 0.7181 (multiplicity 2)  6 Al 2.76-2.93



4.
Density functional theory data (PBE) for a geometry-optimized NpCdPb2 structure.

Output
energy relative to the lowest polymorph listed for this composition: 0.00 eV/f.u.
size of the total moment: 1.082 μB per atom
formation enthalpy at 0 K: 0.09 eV/atom

a = 4.8742 Å, b = 4.8742 Å, c = 4.5061 Å
α = 90.00°, β = 90.00°, γ = 90.00°
Last column: nearest neighbours and their distance in Å.
Space group P4/mmm (No. 123)
One atom of each set of equivalent atoms:
1 Np 0.0000 0.0000 0.0000 (multiplicity 1)  8 Pb 3.32, 4 Cd 3.45
2 Cd 0.5000 0.5000 0.0000 (multiplicity 1)  8 Pb 3.32, 4 Np 3.45
3 Pb 0.0000 0.5000 0.5000 (multiplicity 2)  4 Cd 3.32, 4 Np 3.32, 4 Pb 3.45